An optimized crystal structure of MnCSO7, computed with PBE with a Hubbard U.

Computed properties:
* magnetization: 0.300 μB per atom
* space-group type: P2_1/m
* total DFT energy (no corrections): -0.4963 Ry/atom
* V: 272 Å³/cell

Unit cell a=5.153 b=6.227 c=8.504 alpha=90.00 beta=95.28 gamma=90.00
Sites, in units of the cell vectors:
Mn 0.212 0.250 0.324
Mn 0.788 0.750 0.676
C 0.293 0.250 0.050
C 0.707 0.750 0.950
S 0.266 0.750 0.421
S 0.734 0.250 0.579
O 0.058 0.250 0.102
O 0.121 0.750 0.562
O 0.195 0.563 0.316
O 0.195 0.937 0.316
O 0.337 0.250 0.910
O 0.449 0.250 0.530
O 0.474 0.250 0.171
O 0.526 0.750 0.829
O 0.551 0.750 0.470
O 0.663 0.750 0.090
O 0.805 0.063 0.684
O 0.805 0.437 0.684
O 0.879 0.250 0.438
O 0.942 0.750 0.898